First-principles (PBE) data for a geometry-optimized CaTl3Hg3 structure, as listed in Alexandria.

Values from the calculation:
* calculated volume: 632.33 Å³ per cell
* ΔE_f: -0.103 eV/atom
* offset from the most stable computed form: 43 meV/atom
* E_tot: -32.2 eV/cell

Cell lengths 10.2503, 10.2503, 6.9493 Å; angles 90.00, 90.00, 120.00 degrees
Space group R3m (No. 160, hexagonal axes)
Unique sites:
Ca 0.0000 0.0000 0.0000
Tl 0.0912 0.5456 0.0911
Hg 0.0054 0.5027 0.5164

***

First-principles (PBE) data for a geometry-optimized Co2HgPt structure, as listed in Alexandria.

Values from the calculation:
* calculated volume: 179.20 Å³ per cell
* ΔE_f: 0.299 eV/atom
* E_tot: -58.1 eV/cell

Cell lengths 2.8035, 2.8035, 26.3267 Å; angles 90.00, 90.00, 120.00 degrees
Space group R-3m (No. 166, hexagonal axes)
Unique sites:
Co 0.0000 0.0000 0.2455
Hg 0.0000 0.0000 0.0000
Pt 0.0000 0.0000 0.5000

***

First-principles (PBE) data for a geometry-optimized BaLiLa2 structure, as listed in Alexandria.

Values from the calculation:
* calculated volume: 300.97 Å³ per cell
* ΔE_f: 0.275 eV/atom
* offset from the most stable computed form: 182 meV/atom
* E_tot: -25.2 eV/cell

Cell lengths 5.355, 5.355, 10.495 Å; angles 90.00, 90.00, 90.00 degrees
Space group I-4m2 (No. 119)
Unique sites:
Ba 0.000 0.000 0.000
Li 0.000 0.500 0.250
La 0.000 0.000 0.500
La 0.000 0.500 0.750

***

First-principles (PBE) data for a geometry-optimized Pm3Si4Rh2 structure, as listed in Alexandria.

Values from the calculation:
* calculated volume: 359.45 Å³ per cell
* ΔE_f (raw): -8.18 eV per formula unit
* E_tot: -117.6 eV/cell

Cell lengths 11.215, 4.143, 8.205 Å; angles 90.00, 109.47, 90.00 degrees
Space group C2/m (No. 12)
Unique sites:
Pm 0.000 0.000 0.000
Pm 0.111 0.500 0.692
Si 0.106 0.000 0.399
Si 0.222 0.500 0.074
Rh 0.194 0.500 0.359

***

First-principles (PBE) data for a geometry-optimized Ce4DyTh5 structure, as listed in Alexandria.

Values from the calculation:
* calculated volume: 299.92 Å³ per cell
* ΔE_f: 0.018 eV/atom
* E_tot: -65.3 eV/cell

Cell lengths 3.504, 3.504, 24.426 Å; angles 90.00, 90.00, 90.00 degrees
Space group P4/mmm (No. 123)
Unique sites:
Ce 0.000 0.000 0.099
Ce 0.000 0.000 0.295
Dy 0.000 0.000 0.500
Th 0.500 0.500 0.000
Th 0.500 0.500 0.197
Th 0.500 0.500 0.395

***

First-principles (PBE) data for a geometry-optimized VReS3 structure, as listed in Alexandria.

Values from the calculation:
* calculated volume: 95.90 Å³ per cell
* ΔE_f (raw): 4.05 eV per formula unit
* offset from the most stable computed form: 1147 meV/atom
* E_tot: -29.9 eV/cell

Cell lengths 4.577, 4.577, 4.577 Å; angles 90.00, 90.00, 90.00 degrees
Space group Pm-3m (No. 221)
Unique sites:
V 0.000 0.000 0.000
Re 0.500 0.500 0.500
S 0.000 0.000 0.500